(1)
## SiP2ICl (PBEsol)

Data for a geometry-optimized SiP2ICl structure.

Computed properties:
crystal system	tetragonal
space-group type	No. 123
distance to the lowest polymorph of the same formula	0.00	kcal/mol of atoms
uncorrected formation energy	0.40	eV per atom

a = 4.5153 Å, b = 4.6891 Å, c = 4.6891 Å
α = 90.00°, β = 90.00°, γ = 90.00°
Sites, in units of the cell vectors:
1 Cl 0.5000 0.0000 0.0000
2 Si 0.0000 0.0000 0.0000
3 P 0.0000 0.5000 0.0000
4 P 0.0000 0.0000 0.5000
5 I 0.5000 0.5000 0.5000

---

(2)
## PbICl2 (PBEsol)

Data for a geometry-optimized PbICl2 structure.

Computed properties:
crystal system	cubic
space-group type	No. 225
distance to the lowest polymorph of the same formula	0.00	kcal/mol of atoms
uncorrected formation energy	-0.37	eV per atom

a = 5.2618 Å, b = 5.2618 Å, c = 5.2618 Å
α = 60.00°, β = 60.00°, γ = 60.00°
Sites, in units of the cell vectors:
1 Pb 0.5000 0.5000 0.5000
2 Cl 0.7500 0.7500 0.7500
3 I 0.0000 0.0000 0.0000
4 Cl 0.2500 0.2500 0.2500

---

(3)
## PbICl2 (PBEsol)

Data for a geometry-optimized PbICl2 structure.

Computed properties:
crystal system	trigonal
space-group type	No. 166
distance to the lowest polymorph of the same formula	7.19	kcal/mol of atoms
uncorrected formation energy	-0.06	eV per atom

a = 3.4745 Å, b = 3.4745 Å, c = 10.5445 Å
α = 80.52°, β = 80.52°, γ = 60.00°
Sites, in units of the cell vectors:
1 I 0.5000 0.5000 0.5000
2 Cl 0.0845 0.0845 0.7464
3 Pb 0.0000 0.0000 0.0000
4 Cl 0.9155 0.9155 0.2536

---

(4)
## PbICl (PBEsol)

Data for a geometry-optimized PbICl structure.

Computed properties:
crystal system	orthorhombic
space-group type	No. 62
uncorrected formation energy	-0.86	eV per atom

a = 4.5579 Å, b = 8.0438 Å, c = 9.4789 Å
α = 90.00°, β = 90.00°, γ = 90.00°
Sites, in units of the cell vectors:
1 Pb 0.2500 0.2170 0.1198
2 I 0.2500 0.4685 0.8309
3 Pb 0.7500 0.2830 0.6198
4 Pb 0.2500 0.7170 0.3802
5 I 0.7500 0.5315 0.1691
6 Cl 0.7500 0.6405 0.5617
7 Pb 0.7500 0.7830 0.8802
8 I 0.7500 0.0315 0.3309
9 Cl 0.2500 0.3595 0.4383
10 Cl 0.7500 0.1405 0.9383
11 Cl 0.2500 0.8595 0.0617
12 I 0.2500 0.9685 0.6691

---

(5)
## PdICl2 (PBEsol)

Data for a geometry-optimized PdICl2 structure.

Computed properties:
crystal system	tetragonal
space-group type	No. 122
uncorrected formation energy	-0.07	eV per atom

a = 6.6478 Å, b = 6.6478 Å, c = 6.6478 Å
α = 130.55°, β = 100.07°, γ = 100.07°
Sites, in units of the cell vectors:
1 Pd 0.0000 0.5000 0.5000
2 Pd 0.5000 0.2500 0.7500
3 I 0.5000 0.7500 0.2500
4 Cl 0.3550 0.4800 0.6250
5 Cl 0.8550 0.3750 0.7300
6 Cl 0.6450 0.2700 0.1250
7 Cl 0.1450 0.8750 0.5200
8 I 0.0000 0.0000 0.0000

---

(6)
## PdSICl2 (PBEsol)

Data for a geometry-optimized PdSICl2 structure.

Computed properties:
crystal system	tetragonal
space-group type	No. 123
uncorrected formation energy	0.82	eV per atom

a = 5.0600 Å, b = 5.2411 Å, c = 5.2411 Å
α = 90.00°, β = 90.00°, γ = 90.00°
Site moments in Bohr magnetons follow the coordinates.
Sites, in units of the cell vectors:
1 Cl 0.0000 0.0000 0.5000  0.01
2 Cl 0.0000 0.5000 0.0000  0.01
3 S 0.5000 0.0000 0.0000  0.07
4 Pd 0.5000 0.5000 0.5000  0.58
5 I 0.0000 0.0000 0.0000  0.00

---

(7)
## SrPdICl2 (PBEsol)

Data for a geometry-optimized SrPdICl2 structure.

Computed properties:
crystal system	tetragonal
space-group type	No. 123
uncorrected formation energy	-0.45	eV per atom

a = 5.2458 Å, b = 5.2458 Å, c = 9.6383 Å
α = 90.00°, β = 90.00°, γ = 90.00°
Site moments in Bohr magnetons follow the coordinates.
Sites, in units of the cell vectors:
1 Pd 0.0000 0.0000 0.5000  0.63
2 Sr 0.0000 0.0000 0.0000  0.00
3 I 0.5000 0.5000 0.5000  0.18
4 Cl 0.0000 0.5000 0.0000  0.00
5 Cl 0.5000 0.0000 0.0000  0.00

---

(8)
## PtI2Cl (PBEsol)

Data for a geometry-optimized PtI2Cl structure.

Computed properties:
crystal system	cubic
space-group type	No. 225
uncorrected formation energy	0.50	eV per atom

a = 4.9818 Å, b = 4.9818 Å, c = 4.9818 Å
α = 60.00°, β = 60.00°, γ = 60.00°
Sites, in units of the cell vectors:
1 I 0.2500 0.2500 0.2500
2 I 0.7500 0.7500 0.7500
3 Cl 0.0000 0.0000 0.0000
4 Pt 0.5000 0.5000 0.5000

---

(9)
## TePtI2Cl (PBEsol)

Data for a geometry-optimized TePtI2Cl structure.

Computed properties:
crystal system	tetragonal
space-group type	No. 123
distance to the lowest polymorph of the same formula	0.00	kcal/mol of atoms
uncorrected formation energy	0.57	eV per atom

a = 4.8798 Å, b = 5.9117 Å, c = 5.9117 Å
α = 90.00°, β = 90.00°, γ = 90.00°
Site moments in Bohr magnetons follow the coordinates.
Sites, in units of the cell vectors:
1 I 0.0000 0.5000 0.0000  0.08
2 Pt 0.5000 0.0000 0.0000  0.00
3 Te 0.0000 0.0000 0.0000  0.00
4 I 0.0000 0.0000 0.5000  0.08
5 Cl 0.5000 0.5000 0.5000  0.34

---

(10)
## TePtI2Cl (PBEsol)

Data for a geometry-optimized TePtI2Cl structure.

Computed properties:
crystal system	tetragonal
space-group type	No. 123
distance to the lowest polymorph of the same formula	16.62	kcal/mol of atoms
uncorrected formation energy	1.29	eV per atom

a = 5.4582 Å, b = 5.4582 Å, c = 5.1609 Å
α = 90.00°, β = 90.00°, γ = 90.00°
Site moments in Bohr magnetons follow the coordinates.
Sites, in units of the cell vectors:
1 I 0.0000 0.5000 0.0000  0.05
2 Pt 0.5000 0.5000 0.5000  0.51
3 Te 0.0000 0.0000 0.5000  0.10
4 I 0.5000 0.0000 0.0000  0.05
5 Cl 0.0000 0.0000 0.0000  0.00

---

(11)
## Rb2ICl (PBEsol)

Data for a geometry-optimized Rb2ICl structure.

Computed properties:
crystal system	cubic
space-group type	No. 225
distance to the lowest polymorph of the same formula	0.00	kcal/mol of atoms
uncorrected formation energy	-1.63	eV per atom

a = 5.8850 Å, b = 5.8850 Å, c = 5.8850 Å
α = 60.00°, β = 60.00°, γ = 60.00°
Sites, in units of the cell vectors:
1 I 0.5000 0.5000 0.5000
2 Rb 0.7500 0.7500 0.7500
3 Rb 0.2500 0.2500 0.2500
4 Cl 0.0000 0.0000 0.0000

---

(12)
## Rb2ICl (PBEsol)

Data for a geometry-optimized Rb2ICl structure.

Computed properties:
crystal system	tetragonal
space-group type	No. 122
distance to the lowest polymorph of the same formula	0.55	kcal/mol of atoms
uncorrected formation energy	-1.60	eV per atom

a = 7.9143 Å, b = 7.9143 Å, c = 7.9143 Å
α = 103.24°, β = 112.68°, γ = 112.68°
Sites, in units of the cell vectors:
1 Rb 0.0376 0.1626 0.6250
2 I 0.5000 0.7500 0.2500
3 I 0.0000 0.0000 0.0000
4 Rb 0.9624 0.5874 0.1250
5 Rb 0.5376 0.3750 0.4126
6 Cl 0.5000 0.2500 0.7500
7 Cl 0.0000 0.5000 0.5000
8 Rb 0.4624 0.8750 0.8374

---

(13)
## Rb2SnICl (PBEsol)

Data for a geometry-optimized Rb2SnICl structure.

Computed properties:
crystal system	tetragonal
space-group type	No. 123
uncorrected formation energy	-0.48	eV per atom

a = 5.8022 Å, b = 5.8022 Å, c = 7.1390 Å
α = 90.00°, β = 90.00°, γ = 90.00°
Site moments in Bohr magnetons follow the coordinates.
Sites, in units of the cell vectors:
1 Sn 0.5000 0.5000 0.5000  0.45
2 Rb 0.5000 0.0000 0.0000  0.01
3 I 0.0000 0.0000 0.5000  -0.02
4 Rb 0.0000 0.5000 0.0000  0.01
5 Cl 0.0000 0.0000 0.0000  0.00

---

(14)
## Re3ICl (PBEsol)

Data for a geometry-optimized Re3ICl structure.

Computed properties:
crystal system	cubic
space-group type	No. 221
distance to the lowest polymorph of the same formula	0.00	kcal/mol of atoms
uncorrected formation energy	2.22	eV per atom

a = 4.4244 Å, b = 4.4244 Å, c = 4.4244 Å
α = 90.00°, β = 90.00°, γ = 90.00°
Sites, in units of the cell vectors:
1 Re 0.5000 0.0000 0.0000
2 Re 0.0000 0.0000 0.5000
3 Cl 0.0000 0.0000 0.0000
4 I 0.5000 0.5000 0.5000
5 Re 0.0000 0.5000 0.0000

---

(15)
## Re3ICl (PBEsol)

Data for a geometry-optimized Re3ICl structure.

Computed properties:
crystal system	cubic
space-group type	No. 221
distance to the lowest polymorph of the same formula	24.62	kcal/mol of atoms
uncorrected formation energy	3.29	eV per atom

a = 4.8583 Å, b = 4.8583 Å, c = 4.8583 Å
α = 90.00°, β = 90.00°, γ = 90.00°
Site moments in Bohr magnetons follow the coordinates.
Sites, in units of the cell vectors:
1 Re 0.5000 0.0000 0.0000  0.93
2 Re 0.0000 0.0000 0.5000  0.93
3 Re 0.0000 0.5000 0.0000  0.93
4 Cl 0.5000 0.5000 0.5000  0.22
5 I 0.0000 0.0000 0.0000  -0.04

---

(16)
## ReICl2 (PBEsol)

Data for a geometry-optimized ReICl2 structure.

Computed properties:
crystal system	cubic
space-group type	No. 225
uncorrected formation energy	1.34	eV per atom

a = 4.9626 Å, b = 4.9626 Å, c = 4.9626 Å
α = 60.00°, β = 60.00°, γ = 60.00°
Site moments in Bohr magnetons follow the coordinates.
Sites, in units of the cell vectors:
1 Cl 0.2500 0.2500 0.2500  0.01
2 I 0.0000 0.0000 0.0000  -0.09
3 Re 0.5000 0.5000 0.5000  3.47
4 Cl 0.7500 0.7500 0.7500  0.01

---

(17)
## ReSICl2 (PBEsol)

Data for a geometry-optimized ReSICl2 structure.

Computed properties:
crystal system	tetragonal
space-group type	No. 123
uncorrected formation energy	1.57	eV per atom

a = 5.0624 Å, b = 5.4135 Å, c = 5.4135 Å
α = 90.00°, β = 90.00°, γ = 90.00°
Site moments in Bohr magnetons follow the coordinates.
Sites, in units of the cell vectors:
1 Cl 0.0000 0.0000 0.5000  0.06
2 S 0.5000 0.0000 0.0000  0.04
3 I 0.0000 0.0000 0.0000  -0.02
4 Re 0.5000 0.5000 0.5000  4.46
5 Cl 0.0000 0.5000 0.0000  0.06

---

(18)
## ReTe2ICl (PBEsol)

Data for a geometry-optimized ReTe2ICl structure.

Computed properties:
crystal system	tetragonal
space-group type	No. 123
uncorrected formation energy	0.50	eV per atom

a = 5.1086 Å, b = 5.1086 Å, c = 5.4798 Å
α = 90.00°, β = 90.00°, γ = 90.00°
Sites, in units of the cell vectors:
1 Te 0.0000 0.5000 0.0000
2 Cl 0.5000 0.5000 0.5000
3 I 0.0000 0.0000 0.5000
4 Te 0.5000 0.0000 0.0000
5 Re 0.0000 0.0000 0.0000

---

(19)
## RhI2Cl (PBEsol)

Data for a geometry-optimized RhI2Cl structure.

Computed properties:
crystal system	tetragonal
space-group type	No. 122
uncorrected formation energy	0.13	eV per atom

a = 6.5748 Å, b = 6.5748 Å, c = 6.5748 Å
α = 110.33°, β = 109.05°, γ = 109.05°
Sites, in units of the cell vectors:
1 I 0.5702 0.8750 0.9452
2 Cl 0.5000 0.2500 0.7500
3 Rh 0.0000 0.0000 0.0000
4 Rh 0.5000 0.7500 0.2500
5 I 0.4298 0.3750 0.3048
6 I 0.0702 0.6952 0.1250
7 I 0.9298 0.0548 0.6250
8 Cl 0.0000 0.5000 0.5000

---

(20)
## RhICl2 (PBEsol)

Data for a geometry-optimized RhICl2 structure.

Computed properties:
crystal system	cubic
space-group type	No. 225
uncorrected formation energy	0.80	eV per atom

a = 4.8183 Å, b = 4.8183 Å, c = 4.8183 Å
α = 60.00°, β = 60.00°, γ = 60.00°
Sites, in units of the cell vectors:
1 Cl 0.7500 0.7500 0.7500
2 Cl 0.2500 0.2500 0.2500
3 I 0.5000 0.5000 0.5000
4 Rh 0.0000 0.0000 0.0000